1.
8
Lattice="3.5108 0.0003 0.6217 -0.2841 5.9541 1.6121 -0.3231 -0.0724 12.0406" Properties=species:S:1:pos:R:3 comment="Tb3Y2Ho3 PBE optimized geometry" dos_at_fermi_per_ev_cell=11.26 e_above_lowest_polymorph_kj_per_mol_fu=0 formation_energy_mev_per_atom=5 pbc="T T T"
Tb 1.6742 5.6490 10.9805
Tb 1.6134 2.9772 1.1169
Tb 1.2294 0.2329 3.2939
Y 0.6452 1.4522 6.5784
Y 2.2585 4.4297 7.6960
Ho 0.0617 2.6725 9.8584
Ho 2.8419 3.2094 4.4160
Ho 0.0000 0.0000 0.0000

2.
12
Lattice="5.0399 0.0000 0.0000 0.0000 5.0399 0.0000 0.0000 0.0000 15.1177" Properties=species:S:1:pos:R:3 comment="TbY9Ho2 PBE optimized geometry" dos_at_fermi_per_ev_cell=18.11 formation_energy_mev_per_atom=25 pbc="T T T"
Tb 0.0000 0.0000 0.0000
Y 2.5199 2.5199 0.0000
Y 2.5199 2.5199 5.0450
Y 2.5199 2.5199 10.0727
Y 2.5199 0.0000 2.5269
Y 2.5199 0.0000 7.5589
Y 2.5199 0.0000 12.5908
Y 0.0000 2.5199 2.5269
Y 0.0000 2.5199 7.5589
Y 0.0000 2.5199 12.5908
Ho 0.0000 0.0000 5.0415
Ho 0.0000 0.0000 10.0763

3.
11
Lattice="-1.3720 -3.2825 -4.1941 8.6243 1.9940 -4.3832 2.0014 -2.2642 8.3301" Properties=species:S:1:pos:R:3 comment="Tb3YHo7 PBE optimized geometry" dos_at_fermi_per_ev_cell=18.25 e_above_lowest_polymorph_kj_per_mol_fu=0 formation_energy_mev_per_atom=149 pbc="T T T"
Tb 9.7921 -0.6972 0.9481
Tb 4.3122 0.9970 -2.1916
Tb -0.5384 -2.8555 -1.1952
Y 4.6268 -1.7763 -0.1236
Ho 7.7384 -3.4333 0.1554
Ho 5.6587 -2.1871 -3.7457
Ho 2.5270 -1.9221 -2.9285
Ho 6.7267 -1.6306 2.6813
Ho 0.3147 -2.7734 2.0680
Ho 3.5950 -1.3656 3.4986
Ho 1.5153 -0.1194 -0.4025

4.
18
Lattice="-5.6825 1.3941 -3.8181 -0.5108 -9.3147 -2.6408 -4.6094 3.0390 7.9698" Properties=species:S:1:pos:R:3 comment="TbY3Ho5 PBE optimized geometry" dos_at_fermi_per_ev_cell=26.88 e_above_lowest_polymorph_kj_per_mol_fu=0 formation_energy_mev_per_atom=65 pbc="T T T"
Tb 0.0000 0.0000 0.0000
Tb -2.8413 0.6970 -1.9090
Y -4.4440 -2.2748 -3.8049
Y -7.5569 -2.9931 0.5658
Y -5.9050 2.1288 -0.0226
Y -1.7493 -5.6459 -2.6540
Y -3.2458 -1.8886 0.9451
Y -4.3869 2.3042 4.1743
Ho -3.2432 -1.0789 4.4329
Ho -4.7183 -4.4998 -1.0130
Ho -1.8770 -5.1968 0.8960
Ho -6.0844 -0.3819 2.5239
Ho -4.6143 -5.3802 -4.6853
Ho -5.8500 -0.9009 -1.2107
Ho -7.4416 3.1420 2.6343
Ho -1.5791 -2.5405 -1.7736
Ho -4.9527 -3.9808 2.7216
Ho -2.8503 1.2911 1.5174